DFT (PBE-GGA) results for a geometry-optimized Na5PS4Br2 structure.

```
Na5PS4Br2
1.0
8.4095 0.0000 0.0000
0.0000 5.3829 3.4528
0.0000 -5.3829 3.4528
Na P S Br
5 1 4 2
Direct
0.0000 0.0000 0.0000 Na
0.2699 0.2869 0.6713 Na
0.2699 0.6713 0.2869 Na
0.7301 0.2869 0.6713 Na
0.7301 0.6713 0.2869 Na
0.5000 0.9973 0.9973 P
0.3016 0.1732 0.1732 S
0.5000 0.6626 0.9693 S
0.5000 0.9693 0.6626 S
0.6984 0.1732 0.1732 S
0.0000 0.5338 0.9264 Br
0.0000 0.9264 0.5338 Br
```

Properties
space-group type = Amm2
formation energy without anion corrections = -1072 meV/atom
E_tot = -0.137 hartree per atom